# Ca2SiAs | Alexandria via LeMat-Bulk | GGA-PBE | optimized geometry
# E_tot = -4.0167 eV per atom
# formation energy (no corrections) = -0.498 eV per atom
data_Ca2SiAs
_cell_length_a 7.2543
_cell_length_b 7.2543
_cell_length_c 7.2543
_cell_angle_alpha 90.00
_cell_angle_beta 90.00
_cell_angle_gamma 90.00
_symmetry_space_group_name_H-M 'F m -3 m'
_symmetry_Int_Tables_number 225
_symmetry_space_group_name_Hall '-F 4 2 3'
loop_
_atom_site_label
_atom_site_fract_x
_atom_site_fract_y
_atom_site_fract_z
Ca1 0.2500 0.2500 0.2500
Si1 0.0000 0.0000 0.0000
As1 0.0000 0.0000 0.5000

***

# Ca3SiAs4 | Alexandria via LeMat-Bulk | GGA-PBE | optimized geometry
# E_tot = -4.5563 eV per atom
# formation energy (no corrections) = -0.803 eV per atom
data_Ca3SiAs4
_cell_length_a 8.0710
_cell_length_b 10.2619
_cell_length_c 9.4837
_cell_angle_alpha 90.00
_cell_angle_beta 90.00
_cell_angle_gamma 90.00
_symmetry_space_group_name_H-M 'P n m a'
_symmetry_Int_Tables_number 62
_symmetry_space_group_name_Hall '-P 2ac 2n'
loop_
_atom_site_label
_atom_site_fract_x
_atom_site_fract_y
_atom_site_fract_z
Ca1 0.0406 0.0529 0.1885
Ca2 0.1562 0.7500 0.4124
Si1 0.2358 0.2500 0.4536
As1 0.0311 0.7500 0.1060
As2 0.1401 0.0437 0.5428
As3 0.1972 0.7500 0.7172

***

# CaSi3As | Alexandria via LeMat-Bulk | GGA-PBE | optimized geometry
# E_tot = -4.0263 eV per atom
# formation energy (no corrections) = 0.558 eV per atom
data_CaSi3As
_cell_length_a 4.9106
_cell_length_b 4.9106
_cell_length_c 4.9106
_cell_angle_alpha 90.00
_cell_angle_beta 90.00
_cell_angle_gamma 90.00
_symmetry_space_group_name_H-M 'P m -3 m'
_symmetry_Int_Tables_number 221
_symmetry_space_group_name_Hall '-P 4 2 3'
loop_
_atom_site_label
_atom_site_fract_x
_atom_site_fract_y
_atom_site_fract_z
Ca1 0.0000 0.0000 0.0000
Si1 0.0000 0.5000 0.5000
As1 0.5000 0.5000 0.5000

***

# Ca2SiAs | Alexandria via LeMat-Bulk | GGA-PBE | optimized geometry
# E_tot = -4.0702 eV per atom
# formation energy (no corrections) = -0.551 eV per atom
data_Ca2SiAs
_cell_length_a 6.4167
_cell_length_b 8.1478
_cell_length_c 3.5499
_cell_angle_alpha 90.00
_cell_angle_beta 90.00
_cell_angle_gamma 90.00
_symmetry_space_group_name_H-M 'C m m m'
_symmetry_Int_Tables_number 65
_symmetry_space_group_name_Hall '-C 2 2'
loop_
_atom_site_label
_atom_site_fract_x
_atom_site_fract_y
_atom_site_fract_z
Ca1 0.2500 0.2500 0.0000
Si1 0.0000 0.0000 0.5000
As1 0.0000 0.5000 0.5000

***

# CaSiTe2As | Alexandria via LeMat-Bulk | GGA-PBE | optimized geometry
# E_tot = -2.9387 eV per atom
# formation energy (no corrections) = 0.733 eV per atom
data_CaSiTe2As
_cell_length_a 5.7706
_cell_length_b 5.7706
_cell_length_c 5.3010
_cell_angle_alpha 90.00
_cell_angle_beta 90.00
_cell_angle_gamma 90.00
_symmetry_space_group_name_H-M 'P 4/m m m'
_symmetry_Int_Tables_number 123
_symmetry_space_group_name_Hall '-P 4 2'
loop_
_atom_site_label
_atom_site_fract_x
_atom_site_fract_y
_atom_site_fract_z
Ca1 0.0000 0.0000 0.0000
Si1 0.5000 0.5000 0.5000
Te1 0.0000 0.5000 0.0000
As1 0.0000 0.0000 0.5000

***

# CaYSiAs2 | Alexandria via LeMat-Bulk | GGA-PBE | optimized geometry
# E_tot = -4.6343 eV per atom
# formation energy (no corrections) = 0.003 eV per atom
data_CaYSiAs2
_cell_length_a 5.3714
_cell_length_b 5.3714
_cell_length_c 5.2976
_cell_angle_alpha 90.00
_cell_angle_beta 90.00
_cell_angle_gamma 90.00
_symmetry_space_group_name_H-M 'P 4/m m m'
_symmetry_Int_Tables_number 123
_symmetry_space_group_name_Hall '-P 4 2'
loop_
_atom_site_label
_atom_site_fract_x
_atom_site_fract_y
_atom_site_fract_z
Ca1 0.0000 0.0000 0.0000
Y1 0.5000 0.5000 0.5000
Si1 0.5000 0.5000 0.0000
As1 0.0000 0.5000 0.5000

***

# CaSm2As | Alexandria via LeMat-Bulk | GGA-PBE | optimized geometry
# E_tot = -4.6585 eV per atom
# energy of formation = -2.54 eV/f.u.
data_CaSm2As
_cell_length_a 4.0336
_cell_length_b 4.0336
_cell_length_c 29.5712
_cell_angle_alpha 90.00
_cell_angle_beta 90.00
_cell_angle_gamma 120.00
_symmetry_space_group_name_H-M 'R -3 m'
_symmetry_Int_Tables_number 166
_symmetry_space_group_name_Hall '-R 3 2"'
loop_
_atom_site_label
_atom_site_fract_x
_atom_site_fract_y
_atom_site_fract_z
Ca1 0.0000 0.0000 0.0000
Sm1 0.0000 0.0000 0.2241
As1 0.0000 0.0000 0.5000

***

# CaSm5As6 | Alexandria via LeMat-Bulk | GGA-PBE | optimized geometry
# E_tot = -5.8815 eV per atom
# energy of formation = -17.08 eV/f.u.
data_CaSm5As6
_cell_length_a 7.3058
_cell_length_b 12.6637
_cell_length_c 7.3223
_cell_angle_alpha 90.00
_cell_angle_beta 109.45
_cell_angle_gamma 90.00
_symmetry_space_group_name_H-M 'C 1 2/m 1'
_symmetry_Int_Tables_number 12
_symmetry_space_group_name_Hall '-C 2y'
loop_
_atom_site_label
_atom_site_fract_x
_atom_site_fract_y
_atom_site_fract_z
Ca1 0.0000 0.0000 0.0000
Sm1 0.0000 0.1658 0.5000
Sm2 0.0000 0.3330 0.0000
Sm3 0.0000 0.5000 0.5000
As1 0.2467 0.5000 0.2519
As2 0.2475 0.3315 0.7486

***

Repeat the third record exactly.
# CaSi3As | Alexandria via LeMat-Bulk | GGA-PBE | optimized geometry
# E_tot = -4.0263 eV per atom
# formation energy (no corrections) = 0.558 eV per atom
data_CaSi3As
_cell_length_a 4.9106
_cell_length_b 4.9106
_cell_length_c 4.9106
_cell_angle_alpha 90.00
_cell_angle_beta 90.00
_cell_angle_gamma 90.00
_symmetry_space_group_name_H-M 'P m -3 m'
_symmetry_Int_Tables_number 221
_symmetry_space_group_name_Hall '-P 4 2 3'
loop_
_atom_site_label
_atom_site_fract_x
_atom_site_fract_y
_atom_site_fract_z
Ca1 0.0000 0.0000 0.0000
Si1 0.0000 0.5000 0.5000
As1 0.5000 0.5000 0.5000